# GGA-PBEsol Tl2CdPt, optimized geometry
data_Tl2CdPt
_chemical_formula_sum 'Tl6 Cd3 Pt3'
_symmetry_space_group_name_H-M 'R -3 m'
_symmetry_Int_Tables_number 166
_symmetry_space_group_name_Hall '-R 3 2"'
_cell_length_a 3.5545
_cell_length_b 3.5545
_cell_length_c 25.0993
_cell_angle_alpha 90.00
_cell_angle_beta 90.00
_cell_angle_gamma 120.00
loop_
_atom_site_label
_atom_site_fract_x
_atom_site_fract_y
_atom_site_fract_z
Tl1 0.0000 0.0000 0.2406
Cd1 0.0000 0.0000 0.0000
Pt1 0.0000 0.0000 0.5000
# Offset from the most stable computed form, meV per atom: 165
# Total magnetic moment, Bohr magnetons per cell: 0.000
# Energy of formation from the pure elements, eV per atom: 0.1194
# Total energy, eV/cell: -38.83